No. 1
## Ba3DyHf2O9 (GGA-PBE)

Data for a relaxed Ba3DyHf2O9 crystal.

Properties
For the uncorrected formation energy, the calculation gives -3160 meV/atom. As for the size of the total moment: 0.5 μB per formula unit. The raw total energy is -8.15 eV/atom. As for the density of states at the Fermi level: 0.764 states/eV/atom. As for the space group: P-3m1 (164).

Lattice parameters (Å, degrees): 6.063 6.063 7.440 90.00 90.00 120.00
Element x y z (fractional)
Ba1 0.000 0.000 0.000
Ba2 0.667 0.333 0.334
Ba3 0.333 0.667 0.666
Dy1 0.000 0.000 0.500
O1 0.346 0.173 0.677
O2 0.000 0.500 0.000
O3 0.827 0.654 0.677
O4 0.173 0.346 0.323
O5 0.500 0.500 0.000
O6 0.500 0.000 0.000
O7 0.827 0.173 0.677
O8 0.654 0.827 0.323
O9 0.173 0.827 0.323
Hf1 0.667 0.333 0.837
Hf2 0.333 0.667 0.163


No. 2
## Ba2DyHfSe6 (GGA-PBE)

Data for a relaxed Ba2DyHfSe6 crystal.

Properties
For the uncorrected formation energy, the calculation gives -1601 meV/atom. As for the size of the total moment: 0.0 μB per formula unit. The raw total energy is -5.53 eV/atom. As for the density of states at the Fermi level: 0.559 states/eV/atom. As for the space group: Pmmn (59).

Lattice parameters (Å, degrees): 7.597 7.586 10.735 90.00 90.00 90.00
Element x y z (fractional)
Ba1 0.500 0.751 0.752
Ba2 0.500 0.751 0.248
Ba3 0.000 0.249 0.748
Ba4 0.000 0.249 0.252
Hf1 0.500 0.251 0.000
Hf2 0.000 0.749 0.500
Se1 0.000 0.751 0.256
Se2 0.256 0.007 0.000
Se3 0.243 0.505 0.500
Se4 0.757 0.505 0.500
Se5 0.500 0.249 0.244
Se6 0.257 0.495 0.000
Se7 0.500 0.249 0.756
Se8 0.743 0.495 0.000
Se9 0.744 0.007 0.000
Se10 0.244 0.993 0.500
Se11 0.756 0.993 0.500
Se12 0.000 0.751 0.744
Dy1 0.500 0.250 0.500
Dy2 0.000 0.750 0.000


No. 3
## BaDyHg4 (GGA-PBE)

Data for a relaxed BaDyHg4 crystal.

Properties
As for the size of the total moment: 0.0 μB per formula unit. The raw total energy is -1.68 eV/atom. For the energy of formation from the pure elements, the calculation gives -0.395 eV/atom. As for the density of states at the Fermi level: 0.307 states/eV/atom. As for the space group: P4/mmm (123).

Lattice parameters (Å, degrees): 4.012 4.012 10.621 90.00 90.00 90.00
Element x y z (fractional)
Hg1 0.000 0.000 0.648
Hg2 0.500 0.500 0.803
Hg3 0.500 0.500 0.197
Hg4 0.000 0.000 0.352
Dy1 0.500 0.500 0.500
Ba1 0.000 0.000 0.000


No. 4
## Ba4DyHg5 (GGA-PBE)

Data for a relaxed Ba4DyHg5 crystal.

Properties
As for the size of the total moment: 0.0 μB per formula unit. The raw total energy is -1.87 eV/atom. For the energy of formation from the pure elements, the calculation gives -0.489 eV/atom. As for the density of states at the Fermi level: 0.582 states/eV/atom. As for the space group: P4/mmm (123).

Lattice parameters (Å, degrees): 4.053 4.053 20.891 90.00 90.00 90.00
Element x y z (fractional)
Hg1 0.500 0.500 0.500
Hg2 0.500 0.500 0.077
Hg3 0.500 0.500 0.292
Hg4 0.500 0.500 0.708
Hg5 0.500 0.500 0.923
Ba1 0.000 0.000 0.186
Ba2 0.000 0.000 0.814
Ba3 0.000 0.000 0.604
Ba4 0.000 0.000 0.396
Dy1 0.000 0.000 0.000


No. 5
## Ba2DyHg (GGA-PBE)

Data for a relaxed Ba2DyHg crystal.

Properties
As for the size of the total moment: 0.0 μB per formula unit. The raw total energy is -2.01 eV/atom. For the energy of formation from the pure elements, the calculation gives 0.177 eV/atom. As for the density of states at the Fermi level: 1.383 states/eV/atom. As for the space group: R-3m (166).

Lattice parameters (Å, degrees): 3.916 3.916 12.772 81.18 81.18 60.00
Element x y z (fractional)
Hg1 0.500 0.500 0.500
Ba1 0.904 0.904 0.289
Ba2 0.096 0.096 0.711
Dy1 0.000 0.000 0.000


No. 6
## BaDyHg (GGA-PBE)

Data for a relaxed BaDyHg crystal.

Properties
As for the size of the total moment: 0.0 μB per formula unit. The raw total energy is -2.52 eV/atom. For the energy of formation from the pure elements, the calculation gives -0.249 eV/atom. As for the density of states at the Fermi level: 0.856 states/eV/atom. As for the space group: I4mm (107).

Lattice parameters (Å, degrees): 3.963 3.963 7.433 105.46 105.46 90.00
Element x y z (fractional)
Dy1 0.289 0.289 0.579
Hg1 0.695 0.695 0.390
Ba1 0.016 0.016 0.031


No. 7
## BaDy2Hg3 (GGA-PBE)

Data for a relaxed BaDy2Hg3 crystal.

Properties
As for the size of the total moment: 0.0 μB per formula unit. The raw total energy is -2.48 eV/atom. For the energy of formation from the pure elements, the calculation gives -0.476 eV/atom. As for the density of states at the Fermi level: 0.556 states/eV/atom. As for the space group: P4/mmm (123).

Lattice parameters (Å, degrees): 3.826 3.826 11.822 90.00 90.00 90.00
Element x y z (fractional)
Dy1 0.500 0.500 0.154
Dy2 0.500 0.500 0.846
Hg1 0.000 0.000 0.295
Hg2 0.000 0.000 0.705
Hg3 0.000 0.000 0.000
Ba1 0.500 0.500 0.500


No. 8
## BaDy2In2Hg2 (GGA-PBE)

Data for a relaxed BaDy2In2Hg2 crystal.

Properties
As for the size of the total moment: 0.0 μB per formula unit. The raw total energy is -2.83 eV/atom. For the energy of formation from the pure elements, the calculation gives -0.370 eV/atom. As for the density of states at the Fermi level: 0.325 states/eV/atom. As for the space group: R-3m (166).

Lattice parameters (Å, degrees): 5.053 5.053 10.210 75.67 75.67 60.00
Element x y z (fractional)
Dy1 0.135 0.135 0.594
Dy2 0.865 0.865 0.406
Ba1 0.000 0.000 0.000
Hg1 0.441 0.441 0.677
Hg2 0.559 0.559 0.323
In1 0.747 0.747 0.759
In2 0.253 0.253 0.241